--- 1 ---
## Sr2Pr5Pb3N2 (PBE)

Data for a geometry-optimized Sr2Pr5Pb3N2 structure.

The space group is Cmmm (No. 65) and the conventional cell measures 5.1950, 25.9062 and 4.9747 Å, with angles of 90.00, 90.00 and 90.00 degrees. The inequivalent atoms are Sr at (0.0000, 0.1006, 0.0000), Pr at (0.0000, 0.3030, 0.0000), Pr at (0.0000, 0.4052, 0.5000), Pr at (0.0000, 0.5000, 0.0000), Pb at (0.0000, 0.0000, 0.5000), Pb at (0.0000, 0.1927, 0.5000) and N at (0.0000, 0.3989, 0.0000).


--- 2 ---
## Sr2Pr5Pb3N2 (PBE)

Data for a geometry-optimized Sr2Pr5Pb3N2 structure.

The space group is Cmmm (No. 65) and the conventional cell measures 5.1300, 26.8392 and 5.0036 Å, with angles of 90.00, 90.00 and 90.00 degrees. The inequivalent atoms are Sr at (0.0000, 0.1997, 0.0000), Pr at (0.0000, 0.0000, 0.0000), Pr at (0.0000, 0.0974, 0.5000), Pr at (0.0000, 0.4013, 0.0000), Pb at (0.0000, 0.3168, 0.5000), Pb at (0.0000, 0.5000, 0.5000) and N at (0.0000, 0.0939, 0.0000).


--- 3 ---
## Sr2Pr5Pb3N2 (PBE)

Data for a geometry-optimized Sr2Pr5Pb3N2 structure.

The space group is Cmmm (No. 65) and the conventional cell measures 5.1191, 25.6277 and 5.0717 Å, with angles of 90.00, 90.00 and 90.00 degrees. The inequivalent atoms are Sr at (0.0000, 0.0966, 0.0000), Pr at (0.0000, 0.0000, 0.5000), Pr at (0.0000, 0.1983, 0.5000), Pr at (0.0000, 0.3984, 0.5000), Pb at (0.0000, 0.3077, 0.0000), Pb at (0.0000, 0.5000, 0.0000) and N at (0.0000, 0.1009, 0.5000).


Unit: kJ/mol of atoms. Relative energies: 1 5.2; 2 0.0; 3 6.5.


--- 1 ---
## Sr3Pr4Pb3N2 (PBE)

Data for a geometry-optimized Sr3Pr4Pb3N2 structure.

The space group is Cmmm (No. 65) and the conventional cell measures 5.1388, 26.9135 and 5.0130 Å, with angles of 90.00, 90.00 and 90.00 degrees. The inequivalent atoms are Sr at (0.0000, 0.0000, 0.0000), Sr at (0.0000, 0.2001, 0.0000), Pr at (0.0000, 0.0976, 0.5000), Pr at (0.0000, 0.3999, 0.0000), Pb at (0.0000, 0.3167, 0.5000), Pb at (0.0000, 0.5000, 0.5000) and N at (0.0000, 0.0985, 0.0000).


--- 2 ---
## Sr3Pr4Pb3N2 (PBE)

Data for a geometry-optimized Sr3Pr4Pb3N2 structure.

The space group is Cmmm (No. 65) and the conventional cell measures 5.2078, 26.4492 and 4.9480 Å, with angles of 90.00, 90.00 and 90.00 degrees. The inequivalent atoms are Sr at (0.0000, 0.0000, 0.0000), Sr at (0.0000, 0.3998, 0.0000), Pr at (0.0000, 0.0960, 0.5000), Pr at (0.0000, 0.1976, 0.0000), Pb at (0.0000, 0.3084, 0.5000), Pb at (0.0000, 0.5000, 0.5000) and N at (0.0000, 0.1065, 0.0000).


--- 3 ---
## Sr3Pr4Pb3N2 (PBE)

Data for a geometry-optimized Sr3Pr4Pb3N2 structure.

The space group is Cmmm (No. 65) and the conventional cell measures 5.1480, 26.1613 and 5.0505 Å, with angles of 90.00, 90.00 and 90.00 degrees. The inequivalent atoms are Sr at (0.0000, 0.0000, 0.0000), Sr at (0.0000, 0.0952, 0.5000), Pr at (0.0000, 0.1976, 0.0000), Pr at (0.0000, 0.3980, 0.0000), Pb at (0.0000, 0.3085, 0.5000), Pb at (0.0000, 0.5000, 0.5000) and N at (0.0000, 0.1051, 0.0000).


Unit: kJ/mol of atoms. Relative energies: 1 0.0; 2 4.5; 3 5.9.


--- 1 ---
## Sr4Pr3Pb3N2 (PBE)

Data for a geometry-optimized Sr4Pr3Pb3N2 structure.

The space group is Cmmm (No. 65) and the conventional cell measures 5.1383, 26.3901 and 5.0946 Å, with angles of 90.00, 90.00 and 90.00 degrees. The inequivalent atoms are Sr at (0.0000, 0.0976, 0.0000), Sr at (0.0000, 0.2010, 0.5000), Pr at (0.0000, 0.0000, 0.5000), Pr at (0.0000, 0.3971, 0.5000), Pb at (0.0000, 0.3113, 0.0000), Pb at (0.0000, 0.5000, 0.0000) and N at (0.0000, 0.0941, 0.5000).


--- 2 ---
## Sr4Pr3Pb3N2 (PBE)

Data for a geometry-optimized Sr4Pr3Pb3N2 structure.

The space group is Cmmm (No. 65) and the conventional cell measures 5.2374, 26.8329 and 4.9961 Å, with angles of 90.00, 90.00 and 90.00 degrees. The inequivalent atoms are Sr at (0.0000, 0.1000, 0.0000), Sr at (0.0000, 0.2988, 0.0000), Pr at (0.0000, 0.4012, 0.5000), Pr at (0.0000, 0.5000, 0.0000), Pb at (0.0000, 0.0000, 0.5000), Pb at (0.0000, 0.1882, 0.5000) and N at (0.0000, 0.4080, 0.0000).


--- 3 ---
## Sr4Pr3Pb3N2 (PBE)

Data for a geometry-optimized Sr4Pr3Pb3N2 structure.

The space group is Cmmm (No. 65) and the conventional cell measures 5.2040, 25.8252 and 5.1004 Å, with angles of 90.00, 90.00 and 90.00 degrees. The inequivalent atoms are Sr at (0.0000, 0.0965, 0.0000), Sr at (0.0000, 0.4002, 0.5000), Pr at (0.0000, 0.0000, 0.5000), Pr at (0.0000, 0.1954, 0.5000), Pb at (0.0000, 0.3042, 0.0000), Pb at (0.0000, 0.5000, 0.0000) and N at (0.0000, 0.1013, 0.5000).


Unit: kJ/mol of atoms. Relative energies: 1 0.9; 2 0.0; 3 5.1.


--- 1 ---
## PdN (PBE)

Data for a geometry-optimized PdN structure.

The space group is Pm-3m (No. 221) and the conventional cell measures 2.7640, 2.7640 and 2.7640 Å, with angles of 90.00, 90.00 and 90.00 degrees. The inequivalent atoms are Pd at (0.0000, 0.0000, 0.0000) and N at (0.5000, 0.5000, 0.5000).


--- 2 ---
## PdN (PBE)

Data for a geometry-optimized PdN structure.

The space group is P-6m2 (No. 187) and the conventional cell measures 2.9876, 2.9876 and 2.8851 Å, with angles of 90.00, 90.00 and 120.00 degrees. The inequivalent atoms are Pd at (0.0000, 0.0000, 0.0000) and N at (0.3333, 0.6667, 0.5000).


--- 3 ---
## PdN (PBE)

Data for a geometry-optimized PdN structure.

The space group is Fm-3m (No. 225) and the conventional cell measures 4.4217, 4.4217 and 4.4217 Å, with angles of 90.00, 90.00 and 90.00 degrees. The inequivalent atoms are Pd at (0.0000, 0.0000, 0.0000) and N at (0.0000, 0.0000, 0.5000).


--- 4 ---
## PdN (PBE)

Data for a geometry-optimized PdN structure.

The space group is P6_3/mmc (No. 194) and the conventional cell measures 3.0255, 3.0255 and 5.4535 Å, with angles of 90.00, 90.00 and 120.00 degrees. The inequivalent atoms are Pd at (0.0000, 0.0000, 0.0000) and N at (0.3333, 0.6667, 0.2500).


Unit: kJ/mol of atoms. Relative energies: 1 42.8; 2 23.7; 3 6.1; 4 0.0.


--- 1 ---
## PdN (PBE)

Data for a geometry-optimized PdN structure.

The space group is P6_3/mmc (No. 194) and the conventional cell measures 3.6984, 3.6984 and 4.2842 Å, with angles of 90.00, 90.00 and 120.00 degrees. The inequivalent atoms are Pd at (0.3333, 0.6667, 0.2500) and N at (0.3333, 0.6667, 0.7500).


--- 2 ---
## PdN (PBE)

Data for a geometry-optimized PdN structure.

The space group is Pmma (No. 51) and the conventional cell measures 5.5589, 2.8220 and 5.9200 Å, with angles of 90.00, 90.00 and 90.00 degrees. The inequivalent atoms are Pd at (0.0000, 0.0000, 0.0000), Pd at (0.2500, 0.5000, 0.4997), N at (0.2500, 0.0000, 0.2586) and N at (0.2500, 0.5000, 0.8496).


Unit: kJ/mol of atoms. Relative energies: 1 23.0; 2 0.0.


--- 1 ---
## PdN (PBE)

Data for a geometry-optimized PdN structure.

The space group is F-43m (No. 216) and the conventional cell measures 4.7212, 4.7212 and 4.7212 Å, with angles of 90.00, 90.00 and 90.00 degrees. The inequivalent atoms are Pd at (0.0000, 0.0000, 0.0000) and N at (0.2500, 0.2500, 0.2500).


--- 2 ---
## PdN (PBE)

Data for a geometry-optimized PdN structure.

The space group is P4_2/mmc (No. 131) and the conventional cell measures 2.9246, 2.9246 and 5.6707 Å, with angles of 90.00, 90.00 and 90.00 degrees. The inequivalent atoms are Pd at (0.0000, 0.5000, 0.0000) and N at (0.0000, 0.0000, 0.2500).


Unit: kJ/mol of atoms. Relative energies: 1 19.7; 2 0.0.


--- 1 ---
## Pr4Te3N2 (PBE)

Data for a geometry-optimized Pr4Te3N2 structure.

The space group is C2/m (No. 12) and the conventional cell measures 14.4175, 4.2577 and 10.5747 Å, with angles of 90.00, 126.27 and 90.00 degrees. The inequivalent atoms are Pr at (0.1233, 0.0000, 0.3842), Pr at (0.2034, 0.5000, 0.1497), Te at (0.0000, 0.0000, 0.0000), Te at (0.1037, 0.5000, 0.7493) and N at (0.2033, 0.5000, 0.3634).


--- 2 ---
## Pr4Te3N2 (PBE)

Data for a geometry-optimized Pr4Te3N2 structure.

The space group is Pnma (No. 62) and the conventional cell measures 7.4436, 11.8031 and 11.4687 Å, with angles of 90.00, 90.00 and 90.00 degrees. The inequivalent atoms are Pr at (0.0912, 0.2500, 0.1605), Pr at (0.1465, 0.0502, 0.8898), Pr at (0.2280, 0.2500, 0.5306), Te at (0.0661, 0.5785, 0.6346), Te at (0.0805, 0.7500, 0.2729) and N at (0.0530, 0.6219, 0.9666).


Unit: kJ/mol of atoms. Relative energies: 1 3.8; 2 0.0.


--- 1 ---
## ZnSnSbN (PBE)

Data for a geometry-optimized ZnSnSbN structure.

The space group is I2_12_12_1 (No. 24) and the conventional cell measures 5.0033, 5.1972 and 13.7348 Å, with angles of 90.00, 90.00 and 90.00 degrees. The inequivalent atoms are Zn at (0.0000, 0.2500, 0.1851), Sn at (0.0000, 0.2500, 0.6561), Sb at (0.2500, 0.1004, 0.0000) and N at (0.2486, 0.5000, 0.2500).


--- 2 ---
## ZnSnSbN (PBE)

Data for a geometry-optimized ZnSnSbN structure.

The space group is Cc (No. 9) and the conventional cell measures 7.9329, 7.9671 and 6.6555 Å, with angles of 90.00, 126.57 and 90.00 degrees. The inequivalent atoms are Zn at (0.0000, 0.0639, 0.0000), Sn at (0.0931, 0.3383, 0.4879), Sb at (0.4068, 0.1434, 0.2400) and N at (0.4309, 0.3774, 0.7467).


Unit: kJ/mol of atoms. Relative energies: 1 6.1; 2 0.0.